[1]
This record from the Alexandria database describes a geometry-optimized TlSiRh2 structure. The functional is PBE.

abc: 13.8977 3.4043 2.9804
angles: 90.00 102.20 90.00
Positions (direct):
Tl (0.0000, 0.0000, 0.0000)
Tl (0.5000, 0.5000, 0.0000)
Si (0.2520, 0.0000, 0.7533)
Si (0.7520, 0.5000, 0.7533)
Rh (0.1336, 0.5000, 0.6327)
Rh (0.3197, 0.5000, 0.3194)
Rh (0.6336, 0.0000, 0.6327)
Rh (0.8197, 0.0000, 0.3194)

Computed properties:
SG = Cm (8)
electronic total energy = -47.7 eV/cell
theoretical density = 10.56 g cm⁻³
energy relative to the elements, uncorrected = -0.339 eV per atom

=====

[2]
This record from the Alexandria database describes a geometry-optimized TlSiRh2 structure. The functional is PBE.

abc: 6.9368 6.9368 5.8042
angles: 90.00 90.00 90.00
Positions (direct):
Tl (0.0000, 0.0000, 0.0000)
Tl (0.0000, 0.5000, 0.2500)
Tl (0.5000, 0.0000, 0.7500)
Tl (0.5000, 0.5000, 0.5000)
Si (0.0000, 0.0000, 0.5000)
Si (0.0000, 0.5000, 0.7500)
Si (0.5000, 0.0000, 0.2500)
Si (0.5000, 0.5000, 0.0000)
Rh (0.1851, 0.2500, 0.6250)
Rh (0.2500, 0.6851, 0.8750)
Rh (0.2500, 0.8149, 0.3750)
Rh (0.3149, 0.2500, 0.1250)
Rh (0.6851, 0.7500, 0.1250)
Rh (0.7500, 0.1851, 0.3750)
Rh (0.7500, 0.3149, 0.8750)
Rh (0.8149, 0.7500, 0.6250)

Computed properties:
SG = I-42d (122)
electronic total energy = -92.4 eV/cell
theoretical density = 10.42 g cm⁻³
energy relative to the elements, uncorrected = -0.150 eV per atom

=====

[3]
This record from the Alexandria database describes a geometry-optimized TlSiRh2 structure. The functional is PBE.

abc: 6.4132 6.4132 6.4132
angles: 90.00 90.00 90.00
Positions (direct):
Tl (0.0000, 0.0000, 0.0000)
Tl (0.0000, 0.5000, 0.5000)
Tl (0.5000, 0.0000, 0.5000)
Tl (0.5000, 0.5000, 0.0000)
Si (0.2500, 0.2500, 0.7500)
Si (0.2500, 0.7500, 0.2500)
Si (0.7500, 0.2500, 0.2500)
Si (0.7500, 0.7500, 0.7500)
Rh (0.0000, 0.0000, 0.5000)
Rh (0.0000, 0.5000, 0.0000)
Rh (0.2500, 0.2500, 0.2500)
Rh (0.2500, 0.7500, 0.7500)
Rh (0.5000, 0.0000, 0.0000)
Rh (0.5000, 0.5000, 0.5000)
Rh (0.7500, 0.2500, 0.7500)
Rh (0.7500, 0.7500, 0.2500)

Computed properties:
SG = F-43m (216)
electronic total energy = -85.2 eV/cell
theoretical density = 11.04 g cm⁻³
energy relative to the elements, uncorrected = 0.296 eV per atom

=====

[4]
This record from the Alexandria database describes a geometry-optimized TlSiRh2 structure. The functional is PBE.

abc: 2.9605 2.9379 7.5882
angles: 90.00 100.28 90.00
Positions (direct):
Tl (0.0000, 0.0000, 0.0000)
Si (0.0000, 0.0000, 0.5000)
Rh (0.4071, 0.5000, 0.3132)
Rh (0.5929, 0.5000, 0.6868)

Computed properties:
SG = P2/m (10)
electronic total energy = -24.1 eV/cell
theoretical density = 11.21 g cm⁻³
energy relative to the elements, uncorrected = -0.395 eV per atom

=====

[5]
This record from the Alexandria database describes a geometry-optimized TlSi2Rh structure. The functional is PBE.

abc: 4.5178 4.5178 15.7756
angles: 90.00 90.00 90.00
Positions (direct):
Tl (0.0000, 0.0000, 0.0000)
Tl (0.0000, 0.5000, 0.2500)
Tl (0.5000, 0.0000, 0.7500)
Tl (0.5000, 0.5000, 0.5000)
Si (0.1380, 0.2500, 0.6250)
Si (0.2500, 0.6380, 0.8750)
Si (0.2500, 0.8620, 0.3750)
Si (0.3620, 0.2500, 0.1250)
Si (0.6380, 0.7500, 0.1250)
Si (0.7500, 0.1380, 0.3750)
Si (0.7500, 0.3620, 0.8750)
Si (0.8620, 0.7500, 0.6250)
Rh (0.0000, 0.0000, 0.5000)
Rh (0.0000, 0.5000, 0.7500)
Rh (0.5000, 0.0000, 0.2500)
Rh (0.5000, 0.5000, 0.0000)

Computed properties:
SG = I-42d (122)
electronic total energy = -80.2 eV/cell
distance to the lowest polymorph of the same formula = 0.2110 eV per atom
theoretical density = 7.50 g cm⁻³
energy relative to the elements, uncorrected = 0.126 eV per atom

=====

[6]
This record from the Alexandria database describes a geometry-optimized TlSi2Rh structure. The functional is PBE.

abc: 4.2344 4.1497 4.7207
angles: 90.00 103.76 90.00
Positions (direct):
Tl (0.0000, 0.0000, 0.0000)
Si (0.4423, 0.5000, 0.7432)
Si (0.5577, 0.5000, 0.2568)
Rh (0.5000, 0.0000, 0.5000)

Computed properties:
SG = P2/m (10)
electronic total energy = -20.3 eV/cell
distance to the lowest polymorph of the same formula = 0.1581 eV per atom
theoretical density = 7.49 g cm⁻³
energy relative to the elements, uncorrected = 0.073 eV per atom

=====

[7]
This record from the Alexandria database describes a geometry-optimized TlSiRh2 structure. The functional is PBE.

abc: 4.2966 3.1554 5.2980
angles: 90.00 112.02 90.00
Positions (direct):
Tl (0.0000, 0.0000, 0.0000)
Si (0.5000, 0.5000, 0.5000)
Rh (0.0000, 0.0000, 0.5000)
Rh (0.5000, 0.5000, 0.0000)

Computed properties:
SG = P2/m (10)
electronic total energy = -22.4 eV/cell
theoretical density = 10.93 g cm⁻³
energy relative to the elements, uncorrected = 0.017 eV per atom

=====

[8]
This record from the Alexandria database describes a geometry-optimized TlSi2Rh structure. The functional is PBE.

abc: 3.4538 5.1322 8.1027
angles: 90.00 90.00 90.00
Positions (direct):
Tl (0.0000, 0.0000, 0.0000)
Tl (0.5000, 0.5000, 0.5000)
Si (0.0000, 0.0000, 0.4906)
Si (0.0000, 0.5000, 0.2138)
Si (0.5000, 0.0000, 0.7138)
Si (0.5000, 0.5000, 0.9906)
Rh (0.0000, 0.5000, 0.7910)
Rh (0.5000, 0.0000, 0.2910)

Computed properties:
SG = Imm2 (44)
electronic total energy = -39.0 eV/cell
distance to the lowest polymorph of the same formula = 0.3575 eV per atom
theoretical density = 8.40 g cm⁻³
energy relative to the elements, uncorrected = 0.272 eV per atom

=====

[9]
This record from the Alexandria database describes a geometry-optimized Tl2SiRh structure. The functional is PBE.

abc: 3.0955 4.8177 11.9226
angles: 90.00 90.00 90.00
Positions (direct):
Tl (0.0000, 0.0000, 0.0000)
Tl (0.0000, 0.5000, 0.1974)
Tl (0.5000, 0.0000, 0.6974)
Tl (0.5000, 0.5000, 0.5000)
Si (0.0000, 0.0000, 0.3913)
Si (0.5000, 0.5000, 0.8913)
Rh (0.0000, 0.5000, 0.7421)
Rh (0.5000, 0.0000, 0.2421)

Computed properties:
SG = Imm2 (44)
electronic total energy = -34.1 eV/cell
theoretical density = 10.08 g cm⁻³
energy relative to the elements, uncorrected = 0.113 eV per atom

=====

[10]
This record from the Alexandria database describes a geometry-optimized TlSiRh2 structure. The functional is PBE.

abc: 4.2841 4.2841 3.4590
angles: 90.00 90.00 90.00
Positions (direct):
Tl (0.0000, 0.0000, 0.0000)
Si (0.5000, 0.5000, 0.0000)
Rh (0.0000, 0.5000, 0.5000)
Rh (0.5000, 0.0000, 0.5000)

Computed properties:
SG = P4/mmm (123)
electronic total energy = -22.6 eV/cell
theoretical density = 11.46 g cm⁻³
energy relative to the elements, uncorrected = -0.034 eV per atom

=====

[11]
This record from the Alexandria database describes a geometry-optimized TlSi2Rh structure. The functional is PBE.

abc: 3.0497 3.1604 7.6029
angles: 90.00 90.00 90.00
Positions (direct):
Tl (0.0000, 0.0000, 0.0000)
Si (0.0000, 0.0000, 0.4611)
Si (0.5000, 0.5000, 0.6544)
Rh (0.5000, 0.5000, 0.3167)

Computed properties:
SG = Pmm2 (25)
electronic total energy = -20.5 eV/cell
distance to the lowest polymorph of the same formula = 0.1036 eV per atom
theoretical density = 8.24 g cm⁻³
energy relative to the elements, uncorrected = 0.018 eV per atom

=====

[12]
This record from the Alexandria database describes a geometry-optimized TlSi2Rh structure. The functional is PBE.

abc: 6.5340 6.5340 6.5340
angles: 90.00 90.00 90.00
Positions (direct):
Tl (0.0000, 0.0000, 0.0000)
Tl (0.0000, 0.5000, 0.5000)
Tl (0.5000, 0.0000, 0.5000)
Tl (0.5000, 0.5000, 0.0000)
Si (0.2500, 0.2500, 0.2500)
Si (0.2500, 0.2500, 0.7500)
Si (0.2500, 0.7500, 0.2500)
Si (0.2500, 0.7500, 0.7500)
Si (0.7500, 0.2500, 0.2500)
Si (0.7500, 0.2500, 0.7500)
Si (0.7500, 0.7500, 0.2500)
Si (0.7500, 0.7500, 0.7500)
Rh (0.0000, 0.0000, 0.5000)
Rh (0.0000, 0.5000, 0.0000)
Rh (0.5000, 0.0000, 0.0000)
Rh (0.5000, 0.5000, 0.5000)

Computed properties:
SG = Fm-3m (225)
electronic total energy = -75.2 eV/cell
distance to the lowest polymorph of the same formula = 0.5272 eV per atom
theoretical density = 8.65 g cm⁻³
energy relative to the elements, uncorrected = 0.442 eV per atom

=====

[13]
This record from the Alexandria database describes a geometry-optimized TlSi2Rh structure. The functional is PBE.

abc: 4.2085 4.2085 7.7738
angles: 90.00 90.00 90.00
Positions (direct):
Tl (0.0000, 0.0000, 0.0000)
Tl (0.5000, 0.5000, 0.5000)
Si (0.0000, 0.0000, 0.5000)
Si (0.0000, 0.5000, 0.2500)
Si (0.5000, 0.0000, 0.7500)
Si (0.5000, 0.5000, 0.0000)
Rh (0.0000, 0.5000, 0.7500)
Rh (0.5000, 0.0000, 0.2500)

Computed properties:
SG = I-4m2 (119)
electronic total energy = -37.5 eV/cell
distance to the lowest polymorph of the same formula = 0.5406 eV per atom
theoretical density = 8.77 g cm⁻³
energy relative to the elements, uncorrected = 0.455 eV per atom

=====

[14]
This record from the Alexandria database describes a geometry-optimized Tl2SiRh structure. The functional is PBE.

abc: 6.9717 3.6865 7.7093
angles: 90.00 104.45 90.00
Positions (direct):
Tl (0.0000, 0.0000, 0.0000)
Tl (0.2113, 0.0000, 0.6397)
Tl (0.5000, 0.5000, 0.0000)
Tl (0.7113, 0.5000, 0.6397)
Si (0.4575, 0.0000, 0.3538)
Si (0.9575, 0.5000, 0.3538)
Rh (0.2572, 0.5000, 0.2725)
Rh (0.7572, 0.0000, 0.2725)

Computed properties:
SG = Cm (8)
electronic total energy = -35.5 eV/cell
theoretical density = 9.34 g cm⁻³
energy relative to the elements, uncorrected = -0.057 eV per atom

=====

[15]
This record from the Alexandria database describes a geometry-optimized Tl2SiRh structure. The functional is PBE.

abc: 6.1922 7.9860 3.2750
angles: 90.00 90.00 90.00
Positions (direct):
Tl (0.2500, 0.2500, 0.0000)
Tl (0.2500, 0.7500, 0.0000)
Tl (0.7500, 0.2500, 0.0000)
Tl (0.7500, 0.7500, 0.0000)
Si (0.0000, 0.0000, 0.5000)
Si (0.5000, 0.5000, 0.5000)
Rh (0.0000, 0.5000, 0.5000)
Rh (0.5000, 0.0000, 0.5000)

Computed properties:
SG = Cmmm (65)
electronic total energy = -31.2 eV/cell
theoretical density = 11.07 g cm⁻³
energy relative to the elements, uncorrected = 0.482 eV per atom

=====

[16]
This record from the Alexandria database describes a geometry-optimized Tl2SiRh structure. The functional is PBE.

abc: 3.6547 3.6547 6.0182
angles: 90.00 90.00 90.00
Positions (direct):
Tl (0.0000, 0.0000, 0.2436)
Tl (0.0000, 0.0000, 0.7564)
Si (0.5000, 0.5000, 0.5000)
Rh (0.5000, 0.5000, 0.0000)

Computed properties:
SG = P4/mmm (123)
electronic total energy = -15.6 eV/cell
theoretical density = 11.15 g cm⁻³
energy relative to the elements, uncorrected = 0.474 eV per atom

=====

[17]
This record from the Alexandria database describes a geometry-optimized Tl4SiRh structure. The functional is PBE.

abc: 6.0851 6.0851 6.0851
angles: 60.00 60.00 60.00
Positions (direct):
Tl (0.1246, 0.1246, 0.1246)
Tl (0.1246, 0.1246, 0.6263)
Tl (0.1246, 0.6263, 0.1246)
Tl (0.6263, 0.1246, 0.1246)
Si (0.5000, 0.5000, 0.5000)
Rh (0.7500, 0.7500, 0.7500)

Computed properties:
SG = F-43m (216)
electronic total energy = -17.1 eV/cell
theoretical density = 9.89 g cm⁻³
energy relative to the elements, uncorrected = 0.850 eV per atom

=====

[18]
This record from the Alexandria database describes a geometry-optimized Tl2SiRh structure. The functional is PBE.

abc: 4.7437 3.6049 5.5715
angles: 90.00 113.44 90.00
Positions (direct):
Tl (0.0000, 0.0000, 0.0000)
Tl (0.3312, 0.5000, 0.6051)
Si (0.5649, 0.5000, 0.1692)
Rh (0.7776, 0.0000, 0.4333)

Computed properties:
SG = Pm (6)
electronic total energy = -17.3 eV/cell
theoretical density = 10.25 g cm⁻³
energy relative to the elements, uncorrected = 0.041 eV per atom

=====

[19]
This record from the Alexandria database describes a geometry-optimized TlSi2Rh structure. The functional is PBE.

abc: 3.0749 3.0749 7.8005
angles: 90.00 90.00 90.00
Positions (direct):
Tl (0.0000, 0.0000, 0.0000)
Si (0.5000, 0.5000, 0.3229)
Si (0.5000, 0.5000, 0.6771)
Rh (0.0000, 0.0000, 0.5000)

Computed properties:
SG = P4/mmm (123)
electronic total energy = -20.6 eV/cell
distance to the lowest polymorph of the same formula = 0.0780 eV per atom
theoretical density = 8.18 g cm⁻³
energy relative to the elements, uncorrected = -0.007 eV per atom

=====

[20]
This record from the Alexandria database describes a geometry-optimized TlSi2Rh structure. The functional is PBE.

abc: 7.5229 3.6918 6.3637
angles: 90.00 106.59 90.00
Positions (direct):
Tl (0.0000, 0.0000, 0.0000)
Tl (0.5000, 0.5000, 0.0000)
Si (0.2167, 0.0000, 0.6149)
Si (0.2833, 0.5000, 0.3851)
Si (0.7167, 0.5000, 0.6149)
Si (0.7833, 0.0000, 0.3851)
Rh (0.0000, 0.5000, 0.5000)
Rh (0.5000, 0.0000, 0.5000)

Computed properties:
SG = C2/m (12)
electronic total energy = -41.8 eV/cell
distance to the lowest polymorph of the same formula = 0.0000 eV per atom
theoretical density = 7.13 g cm⁻³
energy relative to the elements, uncorrected = -0.085 eV per atom